1.
Here is a relaxed Na2TmUSe4 crystal from the Alexandria database. Energies are from PBE-GGA.

Cell and atoms, written as POSCAR:
```
Na2TmUSe4
1.0
4.117 0.000 0.000
0.000 7.156 0.114
0.000 -2.491 6.999
Se Na U Tm
4 2 1 1
direct
0.500 0.750 0.768 Se
0.000 0.262 0.771 Se
0.000 0.738 0.229 Se
0.500 0.250 0.232 Se
0.000 0.500 0.500 Na
0.500 0.000 0.500 Na
0.000 0.000 0.000 U
0.500 0.500 0.000 Tm
```

Properties
Formation energy without anion corrections, meV per atom: -1416.0
SG: No. 10


2.
Here is a relaxed Na4Tm3USe8 crystal from the Alexandria database. Energies are from PBE-GGA.

Cell and atoms, written as POSCAR:
```
Na4Tm3USe8
1.0
8.233 0.000 0.000
0.000 8.472 0.158
-4.116 -4.113 5.825
Na Tm Se U
4 3 8 1
direct
0.500 0.000 0.500 Na
0.500 0.000 0.000 Na
0.000 0.000 0.000 Na
0.000 0.000 0.500 Na
0.000 0.500 0.500 Tm
0.500 0.500 0.500 Tm
0.500 0.500 0.000 Tm
0.246 0.729 0.984 Se
0.742 0.726 0.484 Se
0.754 0.271 0.016 Se
0.262 0.271 0.016 Se
0.246 0.729 0.492 Se
0.258 0.274 0.516 Se
0.754 0.271 0.508 Se
0.738 0.729 0.984 Se
0.000 0.500 0.000 U
```

Properties
Formation energy without anion corrections, meV per atom: -1550.5
SG: No. 166


3.
Here is a relaxed Na3Tm3VSe8 crystal from the Alexandria database. Energies are from PBE-GGA.

Cell and atoms, written as POSCAR:
```
Na3Tm3VSe8
1.0
7.960 0.000 0.000
-3.980 6.893 -0.026
0.000 -4.571 7.148
Se Na Tm V
8 3 3 1
direct
0.224 0.987 0.712 Se
0.237 0.013 0.288 Se
0.776 0.013 0.288 Se
0.257 0.514 0.271 Se
0.763 0.987 0.712 Se
0.743 0.486 0.729 Se
0.775 0.551 0.288 Se
0.225 0.449 0.712 Se
0.500 0.500 0.000 Na
0.000 0.500 0.000 Na
0.000 0.000 0.000 Na
0.500 0.500 0.500 Tm
0.000 0.500 0.500 Tm
0.500 0.000 0.500 Tm
0.000 0.000 0.500 V
```

Properties
Formation energy without anion corrections, meV per atom: -1424.9
SG: No. 166


4.
Here is a relaxed NaYTm4Se8 crystal from the Alexandria database. Energies are from PBE-GGA.

Cell and atoms, written as POSCAR:
```
NaYTm4Se8
1.0
-8.096 -1.080 1.784
-4.824 -4.573 -5.071
-2.758 -7.525 2.518
Se Tm Na Y
8 4 1 1
direct
0.227 0.756 0.261 Se
0.239 0.239 0.282 Se
0.242 0.242 0.736 Se
0.756 0.756 0.261 Se
0.756 0.227 0.261 Se
0.758 0.758 0.725 Se
0.779 0.242 0.736 Se
0.242 0.779 0.736 Se
0.485 0.005 0.505 Tm
0.005 0.485 0.505 Tm
0.626 0.626 0.123 Tm
0.005 0.005 0.505 Tm
0.374 0.374 0.879 Na
0.005 0.005 0.985 Y
```

Properties
Formation energy without anion corrections, meV per atom: -1758.6
SG: No. 160